Record 1
Below is ZnF2 after structural relaxation, with properties calculated at the PBEsol level.

Cell: 4.6723 5.6746 5.1660 Å, 90.00 90.00 90.00°
With the nearest neighbours (Å) after each atom.
Space group Pbcn (No. 60)
Asymmetric unit:
Zn 0.0000 0.1611 0.2500 x4  6 F 2.00-2.08
F 0.2317 0.1118 0.5812 x8  3 Zn 2.00-2.08

Properties
Calculated density: 5.01 g cm⁻³
Electronic total energy: -4.11 eV per atom


Record 2
Below is CoCuTe2 after structural relaxation, with properties calculated at the PBEsol level.

Cell: 3.3072 3.6982 12.2067 Å, 90.00 90.00 90.00°
With the nearest neighbours (Å) after each atom.
Space group Imm2 (No. 44)
Asymmetric unit:
Co 0.0000 0.0000 0.0000 x2  6 Te 2.57-2.63
Cu 0.0000 0.5000 0.2687 x2  6 Te 2.69-2.81
Te 0.0000 0.0000 0.4287 x2  4 Co 2.63, 2 Cu 2.69
Te 0.0000 0.5000 0.6610 x2  2 Co 2.57, 4 Cu 2.81

Properties
Calculated density: 8.40 g cm⁻³
Energy above the most stable polymorph in this dataset: 0.000 eV/atom


Record 3
Below is CrCuP after structural relaxation, with properties calculated at the PBEsol level.

Cell: 5.4667 5.4667 5.4667 Å, 90.00 90.00 90.00°
With the nearest neighbours (Å) after each atom.
Space group F-43m (No. 216)
Asymmetric unit:
Cr 0.0000 0.0000 0.0000 x4  4 P 2.37, 4 Cu 2.37
Cu 0.2500 0.2500 0.7500 x4  4 Cr 2.37
P 0.2500 0.2500 0.2500 x4  4 Cr 2.37

Properties
ΔH_f (0 K): 0.153 eV per atom
Calculated density: 5.96 g cm⁻³


Record 4
Below is U3VSb5 after structural relaxation, with properties calculated at the PBEsol level.

Cell: 8.8949 8.8949 5.9696 Å, 90.00 90.00 120.00°
With the nearest neighbours (Å) after each atom.
Space group P6_3/mcm (No. 193)
Asymmetric unit:
U 0.0000 0.3889 0.2500 x6  9 Sb 3.05-3.20
V 0.0000 0.0000 0.0000 x2  6 Sb 2.74, 2 V 2.98
Sb 0.0000 0.2589 0.7500 x6  2 V 2.74, 2 U 3.05
Sb 0.3333 0.6667 0.0000 x4  2 Sb 2.98, 6 U 3.13

Properties
Calculated density: 11.15 g cm⁻³
Electronic total energy: -7.86 eV per atom